Density functional theory data (PBE) for a geometry-optimized HoTm3Th2As6 structure.

Geometry as POSCAR:
```
HoTm3Th2As6
1.0
4.1474 0.0000 0.0000
0.0000 8.2487 0.3100
-2.0737 -2.3613 8.6903
Ho Tm Th As
1 3 2 6
Direct
0.5000 0.0000 0.0000
0.5000 0.5000 0.0000
0.8337 0.1660 0.6673
0.1663 0.8340 0.3327
0.8352 0.6700 0.6705
0.1648 0.3300 0.3295
0.3331 0.9253 0.6662
0.6643 0.5897 0.3287
0.6669 0.0747 0.3338
0.9970 0.2501 0.9939
0.0030 0.7499 0.0061
0.3357 0.4103 0.6713
```

Properties
M_tot = 0.00 Bohr magnetons per cell
formation energy from the elements = -1.473 eV per atom

***

Density functional theory data (PBE) for a geometry-optimized PrSm7Mg2 structure.

Geometry as POSCAR:
```
PrSm7Mg2
1.0
-2.8280 -4.5799 0.8050
7.9158 -4.9125 -0.1401
-3.6749 3.6320 7.7534
Pr Sm Mg
1 7 2
Direct
0.0000 0.0000 0.0000
0.0000 0.7840 0.2160
0.0000 0.2160 0.7840
0.5000 0.0680 0.2994
0.5000 0.9320 0.7006
0.5000 0.2994 0.0680
0.5000 0.7006 0.9320
0.5000 0.5000 0.5000
0.5000 0.7028 0.2972
0.5000 0.2972 0.7028
```

Properties
M_tot = 0.00 Bohr magnetons per cell
formation energy from the elements = 0.542 eV per atom